First-principles (GGA-PBE) data for a relaxed structure of Zr2HgRh, as listed in Alexandria via LeMat-Bulk.

abc: 8.637 8.637 8.637
angles: 22.90 22.90 22.90
Atoms (fractional coordinates):
Zr 0.239 0.239 0.239
Zr 0.761 0.761 0.761
Hg 0.000 0.000 0.000
Rh 0.500 0.500 0.500

First-principles (GGA-PBE) data for a relaxed structure of ZrHgRh2, as listed in Alexandria via LeMat-Bulk.

abc: 3.158 4.010 5.606
angles: 90.00 90.19 90.00
Atoms (fractional coordinates):
Zr 0.000 0.000 0.000
Hg 0.501 0.500 0.312
Rh 0.001 0.000 0.535
Rh 0.499 0.500 0.807

First-principles (GGA-PBE) data for a relaxed structure of Hg4Ru, as listed in Alexandria via LeMat-Bulk.

abc: 8.509 8.509 8.509
angles: 153.95 153.95 37.17
Atoms (fractional coordinates):
Hg 0.086 0.086 0.000
Hg 0.250 0.750 0.500
Hg 0.750 0.250 0.500
Hg 0.914 0.914 0.000
Ru 0.500 0.500 0.000

no.,theoretical density (g/cm3),uncorrected energy (eV/cell),energy of formation (meV per atom)
1,9.43,-25.9,-279
2,11.64,-24.8,-311
3,12.64,-6.8,742